No. 1
# PBE LuSiSn2, optimized geometry
# Calculated total energy, eV/cell: -71.21
data_LuSiSn2
_cell_length_a 7.297
_cell_length_b 7.297
_cell_length_c 7.297
_cell_angle_alpha 90.00
_cell_angle_beta 90.00
_cell_angle_gamma 90.00
_symmetry_space_group_name_H-M 'F -4 3 m'
_symmetry_Int_Tables_number 216
_symmetry_space_group_name_Hall 'F -4 2 3'
loop_
_atom_site_label
_atom_site_fract_x
_atom_site_fract_y
_atom_site_fract_z
Lu1 0.000 0.000 0.000
Si1 0.250 0.250 0.750
Sn1 0.000 0.000 0.500
Sn2 0.250 0.250 0.250

=====

No. 2
# PBE LuSiSn, optimized geometry
# Relative energy among the computed polymorphs, meV per atom: 115
data_LuSiSn
_cell_length_a 6.830
_cell_length_b 6.830
_cell_length_c 6.830
_cell_angle_alpha 90.00
_cell_angle_beta 90.00
_cell_angle_gamma 90.00
_symmetry_space_group_name_H-M 'F -4 3 m'
_symmetry_Int_Tables_number 216
_symmetry_space_group_name_Hall 'F -4 2 3'
loop_
_atom_site_label
_atom_site_fract_x
_atom_site_fract_y
_atom_site_fract_z
Lu1 0.000 0.000 0.000
Si1 0.250 0.250 0.750
Sn1 0.250 0.250 0.250